Entry 1:
This record from Alexandria via LeMat-Bulk describes a relaxed BaGePb2Cl8 crystal. The functional is GGA-PBE.

CIF file:
```
data_BaGePb2Cl8
_cell_length_a 6.6517
_cell_length_b 8.8677
_cell_length_c 6.7892
_cell_angle_alpha 90.00
_cell_angle_beta 90.61
_cell_angle_gamma 90.00
_symmetry_space_group_name_H-M 'P 1 2/m 1'
_symmetry_Int_Tables_number 10
loop_
_symmetry_equiv_pos_as_xyz
'x,y,z'
'-x,-y,-z'
'-x,y,-z'
'x,-y,z'
loop_
_atom_site_label
_atom_site_fract_x
_atom_site_fract_y
_atom_site_fract_z
_atom_site_occupancy
Ba1 0.0000 0.0000 0.0000 1
Ge1 0.0000 0.5000 0.0000 1
Pb1 0.5000 0.2642 0.5000 1
Cl1 0.2236 0.2790 0.1638 1
Cl2 0.2571 0.5000 0.6864 1
Cl3 0.2810 0.0000 0.6457 1
```

Output
The density of states at the Fermi level comes out at 0.00 states/eV/cell. The value obtained for the total energy is -45.28 eV/cell.

Entry 2:
This record from Alexandria via LeMat-Bulk describes a relaxed BaGeRu2Cl crystal. The functional is GGA-PBE.

CIF file:
```
data_BaGeRu2Cl
_cell_length_a 5.1911
_cell_length_b 5.1911
_cell_length_c 6.0861
_cell_angle_alpha 90.00
_cell_angle_beta 90.00
_cell_angle_gamma 90.00
_symmetry_space_group_name_H-M 'P 4/m m m'
_symmetry_Int_Tables_number 123
_symmetry_space_group_name_Hall '-P 4 2'
loop_
_atom_site_label
_atom_site_fract_x
_atom_site_fract_y
_atom_site_fract_z
_atom_site_occupancy
Ba1 0.0000 0.0000 0.0000 1
Ge1 0.0000 0.0000 0.5000 1
Ru1 0.0000 0.5000 0.0000 1
Cl1 0.5000 0.5000 0.5000 1
```

Output
The density of states at the Fermi level comes out at 5.63 states/eV/cell. The value obtained for the total energy is -16.53 eV/cell.

Entry 3:
This record from Alexandria via LeMat-Bulk describes a relaxed BaGeSCl2 crystal. The functional is GGA-PBE.

CIF file:
```
data_BaGeSCl2
_cell_length_a 5.7805
_cell_length_b 5.7805
_cell_length_c 6.1650
_cell_angle_alpha 90.00
_cell_angle_beta 90.00
_cell_angle_gamma 90.00
_symmetry_space_group_name_H-M 'P 4/m m m'
_symmetry_Int_Tables_number 123
_symmetry_space_group_name_Hall '-P 4 2'
loop_
_atom_site_label
_atom_site_fract_x
_atom_site_fract_y
_atom_site_fract_z
_atom_site_occupancy
Ba1 0.0000 0.0000 0.0000 1
Ge1 0.5000 0.5000 0.5000 1
S1 0.0000 0.0000 0.5000 1
Cl1 0.0000 0.5000 0.0000 1
```

Output
The energy above the most stable polymorph in this dataset is 4.131 eV per formula unit. The density of states at the Fermi level comes out at 2.63 states/eV/cell. The value obtained for the total energy is -16.68 eV/cell.

Entry 4:
This record from Alexandria via LeMat-Bulk describes a relaxed BaGeS2Cl crystal. The functional is GGA-PBE.

CIF file:
```
data_BaGeS2Cl
_cell_length_a 4.9250
_cell_length_b 4.9250
_cell_length_c 5.1051
_cell_angle_alpha 90.00
_cell_angle_beta 90.00
_cell_angle_gamma 90.00
_symmetry_space_group_name_H-M 'P 4/m m m'
_symmetry_Int_Tables_number 123
_symmetry_space_group_name_Hall '-P 4 2'
loop_
_atom_site_label
_atom_site_fract_x
_atom_site_fract_y
_atom_site_fract_z
_atom_site_occupancy
Ba1 0.0000 0.0000 0.0000 1
Ge1 0.5000 0.5000 0.5000 1
S1 0.0000 0.5000 0.5000 1
Cl1 0.5000 0.5000 0.0000 1
```

Output
The energy above the most stable polymorph in this dataset is 0.000 eV per formula unit. The density of states at the Fermi level comes out at 1.30 states/eV/cell. The value obtained for the total energy is -22.24 eV/cell.

Entry 5:
This record from Alexandria via LeMat-Bulk describes a relaxed BaGeS2Cl crystal. The functional is GGA-PBE.

CIF file:
```
data_BaGeS2Cl
_cell_length_a 5.7990
_cell_length_b 5.7990
_cell_length_c 5.6976
_cell_angle_alpha 90.00
_cell_angle_beta 90.00
_cell_angle_gamma 90.00
_symmetry_space_group_name_H-M 'P 4/m m m'
_symmetry_Int_Tables_number 123
_symmetry_space_group_name_Hall '-P 4 2'
loop_
_atom_site_label
_atom_site_fract_x
_atom_site_fract_y
_atom_site_fract_z
_atom_site_occupancy
Ba1 0.0000 0.0000 0.0000 1
Ge1 0.5000 0.5000 0.5000 1
S1 0.0000 0.5000 0.0000 1
Cl1 0.0000 0.0000 0.5000 1
```

Output
The energy above the most stable polymorph in this dataset is 5.947 eV per formula unit. The density of states at the Fermi level comes out at 3.72 states/eV/cell. The value obtained for the total energy is -16.30 eV/cell.

Entry 6:
This record from Alexandria via LeMat-Bulk describes a relaxed BaGeSCl2 crystal. The functional is GGA-PBE.

CIF file:
```
data_BaGeSCl2
_cell_length_a 5.1212
_cell_length_b 5.1212
_cell_length_c 5.2508
_cell_angle_alpha 90.00
_cell_angle_beta 90.00
_cell_angle_gamma 90.00
_symmetry_space_group_name_H-M 'P 4/m m m'
_symmetry_Int_Tables_number 123
_symmetry_space_group_name_Hall '-P 4 2'
loop_
_atom_site_label
_atom_site_fract_x
_atom_site_fract_y
_atom_site_fract_z
_atom_site_occupancy
Ba1 0.0000 0.0000 0.0000 1
Ge1 0.5000 0.5000 0.5000 1
S1 0.5000 0.5000 0.0000 1
Cl1 0.0000 0.5000 0.5000 1
```

Output
The energy above the most stable polymorph in this dataset is 0.000 eV per formula unit. The density of states at the Fermi level comes out at 0.18 states/eV/cell. The value obtained for the total energy is -20.81 eV/cell.

Entry 7:
This record from Alexandria via LeMat-Bulk describes a relaxed Ba6GeSe2Cl3 crystal. The functional is GGA-PBE.

CIF file:
```
data_Ba6GeSe2Cl3
_cell_length_a 8.2001
_cell_length_b 14.2058
_cell_length_c 8.0583
_cell_angle_alpha 90.00
_cell_angle_beta 109.77
_cell_angle_gamma 90.00
_symmetry_space_group_name_H-M 'C 1 2/m 1'
_symmetry_Int_Tables_number 12
loop_
_symmetry_equiv_pos_as_xyz
'x,y,z'
'-x,-y,-z'
'-x,y,-z'
'x,-y,z'
'x+1/2,y+1/2,z'
'-x+1/2,-y+1/2,-z'
'-x+1/2,y+1/2,-z'
'x+1/2,-y+1/2,z'
loop_
_atom_site_label
_atom_site_fract_x
_atom_site_fract_y
_atom_site_fract_z
_atom_site_occupancy
Ba1 0.2413 0.1632 0.2350 1
Ba2 0.2478 0.0000 0.7637 1
Ge1 0.0000 0.0000 0.0000 1
Se1 0.0000 0.3336 0.0000 1
Cl1 0.0000 0.1678 0.5000 1
Cl2 0.0000 0.5000 0.5000 1
```

Output
The density of states at the Fermi level comes out at 8.09 states/eV/cell. The value obtained for the total energy is -99.48 eV/cell.

Entry 8:
This record from Alexandria via LeMat-Bulk describes a relaxed BaSn2GeCl8 crystal. The functional is GGA-PBE.

CIF file:
```
data_BaSn2GeCl8
_cell_length_a 6.5548
_cell_length_b 6.8116
_cell_length_c 8.8815
_cell_angle_alpha 90.89
_cell_angle_beta 90.31
_cell_angle_gamma 91.44
_symmetry_space_group_name_H-M 'P -1'
_symmetry_Int_Tables_number 2
loop_
_symmetry_equiv_pos_as_xyz
'x,y,z'
'-x,-y,-z'
loop_
_atom_site_label
_atom_site_fract_x
_atom_site_fract_y
_atom_site_fract_z
_atom_site_occupancy
Ba1 0.0000 0.0000 0.0000 1
Sn1 0.4892 0.5158 0.2651 1
Ge1 0.0000 0.0000 0.5000 1
Cl1 0.2033 0.1914 0.2822 1
Cl2 0.2457 0.1427 0.7239 1
Cl3 0.2568 0.6918 0.4658 1
Cl4 0.2837 0.6485 0.0305 1
```

Output
The density of states at the Fermi level comes out at 0.00 states/eV/cell. The value obtained for the total energy is -44.93 eV/cell.

- Look up the total energy of the fourth one.
  -22.24 eV/cell

Please write out number 3 again, unchanged.
This record from Alexandria via LeMat-Bulk describes a relaxed BaGeSCl2 crystal. The functional is GGA-PBE.

CIF file:
```
data_BaGeSCl2
_cell_length_a 5.7805
_cell_length_b 5.7805
_cell_length_c 6.1650
_cell_angle_alpha 90.00
_cell_angle_beta 90.00
_cell_angle_gamma 90.00
_symmetry_space_group_name_H-M 'P 4/m m m'
_symmetry_Int_Tables_number 123
_symmetry_space_group_name_Hall '-P 4 2'
loop_
_atom_site_label
_atom_site_fract_x
_atom_site_fract_y
_atom_site_fract_z
_atom_site_occupancy
Ba1 0.0000 0.0000 0.0000 1
Ge1 0.5000 0.5000 0.5000 1
S1 0.0000 0.0000 0.5000 1
Cl1 0.0000 0.5000 0.0000 1
```

Output
The energy above the most stable polymorph in this dataset is 4.131 eV per formula unit. The density of states at the Fermi level comes out at 2.63 states/eV/cell. The value obtained for the total energy is -16.68 eV/cell.

Please write out number 4 again, unchanged.
This record from Alexandria via LeMat-Bulk describes a relaxed BaGeS2Cl crystal. The functional is GGA-PBE.

CIF file:
```
data_BaGeS2Cl
_cell_length_a 4.9250
_cell_length_b 4.9250
_cell_length_c 5.1051
_cell_angle_alpha 90.00
_cell_angle_beta 90.00
_cell_angle_gamma 90.00
_symmetry_space_group_name_H-M 'P 4/m m m'
_symmetry_Int_Tables_number 123
_symmetry_space_group_name_Hall '-P 4 2'
loop_
_atom_site_label
_atom_site_fract_x
_atom_site_fract_y
_atom_site_fract_z
_atom_site_occupancy
Ba1 0.0000 0.0000 0.0000 1
Ge1 0.5000 0.5000 0.5000 1
S1 0.0000 0.5000 0.5000 1
Cl1 0.5000 0.5000 0.0000 1
```

Output
The energy above the most stable polymorph in this dataset is 0.000 eV per formula unit. The density of states at the Fermi level comes out at 1.30 states/eV/cell. The value obtained for the total energy is -22.24 eV/cell.